1.
InCuPbSe2: optimized geometry, GGA-PBE.

Lattice parameters (Å, degrees): 5.6398 5.6398 4.9588 90.00 90.00 90.00
With the nearest neighbours (Å) after each atom.
Space group P4/mmm (No. 123)
Unique sites:
1 In 0.0000 0.0000 0.0000  8 Se 3.75, 4 Cu 3.99
2 Cu 0.5000 0.5000 0.0000  2 Pb 2.48
3 Pb 0.5000 0.5000 0.5000  2 Cu 2.48
4 Se 0.0000 0.5000 0.5000  2 Pb 2.82

Computed properties:
Uncorrected formation energy ... 35.52 kJ/mol of atoms

=====

2.
In2CuTe4Pb: optimized geometry, GGA-PBE.

Lattice parameters (Å, degrees): 9.0118 11.1328 10.8402 90.00 90.00 90.00
With the nearest neighbours (Å) after each atom.
Space group Fmm2 (No. 42)
Unique sites:
1 In 0.2500 0.2500 0.0000  4 Te 2.93-2.98
2 Cu 0.0000 0.0000 0.2345  4 Te 2.59-2.62
3 Te 0.0000 0.2151 0.3317  1 Cu 2.62, 2 In 2.93
4 Te 0.2349 0.0000 0.0974  1 Cu 2.59
5 Pb 0.0000 0.0000 0.7805  4 Te 3.11-3.22

Computed properties:
Uncorrected formation energy ... -21.23 kJ/mol of atoms